A geometry-optimized Tc2Ge2P structure, computed with GGA-PBE.

Computed properties:
electronic total energy: -7.01 eV per atom
energy of formation: 0.34 eV per formula unit
SG: P4/mbm
total magnetization: 0.000 μB per formula unit
DOS at the Fermi energy: 11.24 states/eV/cell
calculated density: 8.12 g/cm3
V: 15.222 Å³/atom

Lattice parameters (Å, degrees): 6.799 6.799 3.293 90.00 90.00 90.00
Fractional positions:
Tc 0.160 0.340 0.000
Tc 0.340 0.840 0.000
Tc 0.660 0.160 0.000
Tc 0.840 0.660 0.000
Ge 0.139 0.639 0.500
Ge 0.361 0.139 0.500
Ge 0.639 0.861 0.500
Ge 0.861 0.361 0.500
P 0.000 0.000 0.000
P 0.500 0.500 0.000

A geometry-optimized Ba2CaTm2Pb5 structure, computed with GGA-PBE.

Computed properties:
electronic total energy: -3.74 eV per atom
energy of formation: -4.05 eV per formula unit
SG: P4/mbm
total magnetization: 0.000 μB per formula unit
DOS at the Fermi energy: 11.19 states/eV/cell
calculated density: 8.43 g/cm3
V: 33.256 Å³/atom

Lattice parameters (Å, degrees): 12.027 12.027 4.598 90.00 90.00 90.00
Fractional positions:
Ba 0.178 0.322 0.000
Ba 0.322 0.822 0.000
Ba 0.678 0.178 0.000
Ba 0.822 0.678 0.000
Ca 0.000 0.000 0.000
Ca 0.500 0.500 0.000
Tm 0.123 0.623 0.000
Tm 0.377 0.123 0.000
Tm 0.623 0.877 0.000
Tm 0.877 0.377 0.000
Pb 0.000 0.500 0.500
Pb 0.064 0.803 0.500
Pb 0.197 0.064 0.500
Pb 0.303 0.564 0.500
Pb 0.436 0.303 0.500
Pb 0.500 0.000 0.500
Pb 0.564 0.697 0.500
Pb 0.697 0.436 0.500
Pb 0.803 0.936 0.500
Pb 0.936 0.197 0.500

A geometry-optimized PmDySe3 structure, computed with GGA-PBE.

Computed properties:
formation energy (no corrections): -1.89 eV per atom
electronic total energy: -5.85 eV per atom
distance to the lowest polymorph of the same formula: 0.0 kJ per mole of atoms
SG: Pnma
total magnetization: 0.000 μB per formula unit
calculated density: 7.04 g/cm3
V: 25.668 Å³/atom

Lattice parameters (Å, degrees): 7.728 4.127 16.097 90.00 90.00 90.00
Fractional positions:
Pm 0.140 0.250 0.202
Pm 0.360 0.750 0.702
Pm 0.640 0.250 0.298
Pm 0.860 0.750 0.798
Dy 0.230 0.750 0.457
Dy 0.270 0.250 0.957
Dy 0.730 0.750 0.043
Dy 0.770 0.250 0.543
Se 0.008 0.250 0.394
Se 0.122 0.750 0.064
Se 0.151 0.250 0.784
Se 0.349 0.750 0.284
Se 0.378 0.250 0.564
Se 0.492 0.750 0.894
Se 0.508 0.250 0.106
Se 0.622 0.750 0.436
Se 0.651 0.250 0.716
Se 0.849 0.750 0.216
Se 0.878 0.250 0.936
Se 0.992 0.750 0.606

A geometry-optimized RePtW3 structure, computed with GGA-PBE.

Computed properties:
electronic total energy: -9.49 eV per atom
energy of formation: 9.89 eV per formula unit
distance to the lowest polymorph of the same formula: 0.0 kJ per mole of atoms
SG: Pm-3m
total magnetization: 0.000 μB per formula unit
DOS at the Fermi energy: 4.66 states/eV/cell
calculated density: 14.95 g/cm3
V: 20.729 Å³/atom

Lattice parameters (Å, degrees): 4.697 4.697 4.697 90.00 90.00 90.00
Fractional positions:
Re 0.000 0.000 0.000
Pt 0.500 0.500 0.500
W 0.000 0.000 0.500
W 0.000 0.500 0.000
W 0.500 0.000 0.000

Look up the electronic total energy of the fourth one. -9.49 eV per atom

Please write out number 3 again, unchanged.
A geometry-optimized PmDySe3 structure, computed with GGA-PBE.

Computed properties:
formation energy (no corrections): -1.89 eV per atom
electronic total energy: -5.85 eV per atom
distance to the lowest polymorph of the same formula: 0.0 kJ per mole of atoms
SG: Pnma
total magnetization: 0.000 μB per formula unit
calculated density: 7.04 g/cm3
V: 25.668 Å³/atom

Lattice parameters (Å, degrees): 7.728 4.127 16.097 90.00 90.00 90.00
Fractional positions:
Pm 0.140 0.250 0.202
Pm 0.360 0.750 0.702
Pm 0.640 0.250 0.298
Pm 0.860 0.750 0.798
Dy 0.230 0.750 0.457
Dy 0.270 0.250 0.957
Dy 0.730 0.750 0.043
Dy 0.770 0.250 0.543
Se 0.008 0.250 0.394
Se 0.122 0.750 0.064
Se 0.151 0.250 0.784
Se 0.349 0.750 0.284
Se 0.378 0.250 0.564
Se 0.492 0.750 0.894
Se 0.508 0.250 0.106
Se 0.622 0.750 0.436
Se 0.651 0.250 0.716
Se 0.849 0.750 0.216
Se 0.878 0.250 0.936
Se 0.992 0.750 0.606